1.
An optimized crystal structure of Nd6Os2CI3, computed with PBE.

Results
- Total magnetic moment: 0.0 μB per cell
- Formation energy without anion corrections: -554 meV/atom

```
data_Nd6Os2CI3
_chemical_formula_sum 'Nd12 Os4 C2 I6'
_cell_length_a 7.1524
_cell_length_b 12.3618
_cell_length_c 8.3581
_cell_angle_alpha 90.00
_cell_angle_beta 106.62
_cell_angle_gamma 90.00
_space_group_name_H-M_alt 'C 1 2/m 1'
_space_group_IT_number 12
loop_
_space_group_symop_operation_xyz
'x,y,z'
'-x,-y,-z'
'-x,y,-z'
'x,-y,z'
'x+1/2,y+1/2,z'
'-x+1/2,-y+1/2,-z'
'-x+1/2,y+1/2,-z'
'x+1/2,-y+1/2,z'
loop_
_atom_site_label
_atom_site_fract_x
_atom_site_fract_y
_atom_site_fract_z
Nd1 0.2157 0.1572 0.1774
Nd2 0.2450 0.5000 0.1783
Os1 0.0000 0.3334 0.0000
C1 0.0000 0.0000 0.0000
I1 0.0000 0.1678 0.5000
I2 0.0000 0.5000 0.5000
```

2.
An optimized crystal structure of Ac3Si4Au, computed with PBE.

Results
- Total magnetic moment: 0.0 μB per cell
- Formation energy without anion corrections: -510 meV/atom

```
data_Ac3Si4Au
_chemical_formula_sum 'Ac6 Si8 Au2'
_cell_length_a 4.8264
_cell_length_b 5.8814
_cell_length_c 15.6985
_cell_angle_alpha 90.00
_cell_angle_beta 90.00
_cell_angle_gamma 90.00
_space_group_name_H-M_alt 'I m m m'
_space_group_IT_number 71
_space_group_name_Hall '-I 2 2'
loop_
_atom_site_label
_atom_site_fract_x
_atom_site_fract_y
_atom_site_fract_z
Ac1 0.0000 0.0000 0.0000
Ac2 0.0000 0.5000 0.1905
Si1 0.0000 0.2963 0.3826
Au1 0.0000 0.0000 0.5000
```

3.
An optimized crystal structure of Hf2Ti2Tl, computed with PBE.

Results
- Total magnetic moment: 2.1 μB per cell
- Relative energy among the computed polymorphs: 407.9 meV/atom
- E_form: 0.497 eV per atom

```
data_Hf2Ti2Tl
_chemical_formula_sum 'Hf2 Ti2 Tl1'
_cell_length_a 4.8936
_cell_length_b 4.8936
_cell_length_c 5.3879
_cell_angle_alpha 90.00
_cell_angle_beta 90.00
_cell_angle_gamma 120.00
_space_group_name_H-M_alt 'P -3 m 1'
_space_group_IT_number 164
_space_group_name_Hall '-P 3 2"'
loop_
_atom_site_label
_atom_site_fract_x
_atom_site_fract_y
_atom_site_fract_z
Hf1 0.3333 0.6667 0.1353
Ti1 0.3333 0.6667 0.6208
Tl1 0.0000 0.0000 0.5000
```

4.
An optimized crystal structure of H2SeBr2, computed with PBE.

Results
- Calculated total energy: -57.05 eV for the cell shown
- Total magnetic moment: 0.0 μB per cell

```
data_H2SeBr2
_chemical_formula_sum 'H8 Se4 Br8'
_cell_length_a 8.3889
_cell_length_b 7.5086
_cell_length_c 9.3114
_cell_angle_alpha 90.00
_cell_angle_beta 104.32
_cell_angle_gamma 90.00
_space_group_name_H-M_alt 'P 1 21/c 1'
_space_group_IT_number 14
loop_
_space_group_symop_operation_xyz
'x,y,z'
'-x,-y,-z'
'-x,y+1/2,-z+1/2'
'x,-y+1/2,z+1/2'
loop_
_atom_site_label
_atom_site_fract_x
_atom_site_fract_y
_atom_site_fract_z
H1 0.1337 0.0778 0.1927
H2 0.2745 0.2258 0.8549
Se1 0.1651 0.2186 0.6961
Br1 0.0853 0.7021 0.6802
Br2 0.4154 0.2268 0.0948
```

5.
An optimized crystal structure of MgGeRh2O6, computed with PBE.

Results
- Total magnetic moment: 0.6 μB per cell
- Formation energy without anion corrections: -831 meV/atom

```
data_MgGeRh2O6
_chemical_formula_sum 'Mg1 Ge1 Rh2 O6'
_cell_length_a 5.2268
_cell_length_b 5.2268
_cell_length_c 4.6133
_cell_angle_alpha 90.00
_cell_angle_beta 90.00
_cell_angle_gamma 90.00
_space_group_name_H-M_alt 'P 4 m m'
_space_group_IT_number 99
loop_
_space_group_symop_operation_xyz
'x,y,z'
'-y,x,z'
'-x,-y,z'
'y,-x,z'
'-x,y,z'
'y,x,z'
'x,-y,z'
'-y,-x,z'
loop_
_atom_site_label
_atom_site_fract_x
_atom_site_fract_y
_atom_site_fract_z
Mg1 0.0000 0.0000 0.0000
Ge1 0.5000 0.5000 0.0107
Rh1 0.0000 0.5000 0.3564
O1 0.0000 0.0000 0.5758
O2 0.2596 0.2596 0.1667
O3 0.5000 0.5000 0.6410
```

6.
An optimized crystal structure of HfSc2Os, computed with PBE.

Results
- Total magnetic moment: 5.2 μB per cell
- Relative energy among the computed polymorphs: 0.0 meV/atom
- E_form: 0.033 eV per atom

```
data_HfSc2Os
_chemical_formula_sum 'Hf4 Sc8 Os4'
_cell_length_a 6.7402
_cell_length_b 6.7402
_cell_length_c 6.7402
_cell_angle_alpha 90.00
_cell_angle_beta 90.00
_cell_angle_gamma 90.00
_space_group_name_H-M_alt 'F m -3 m'
_space_group_IT_number 225
_space_group_name_Hall '-F 4 2 3'
loop_
_atom_site_label
_atom_site_fract_x
_atom_site_fract_y
_atom_site_fract_z
Hf1 0.0000 0.0000 0.0000
Sc1 0.2500 0.2500 0.2500
Os1 0.0000 0.0000 0.5000
```